No. 1
VASP calculation (PBE) on crystalline AcLa5Sn5 at its relaxed geometry.

Cell: 6.579 8.155 9.062 Å, 105.64 90.00 113.79°
Atoms (fractional coordinates):
1 La 0.335 0.670 0.666
2 La 0.673 0.347 0.843
3 La 0.000 0.000 0.500
4 La 0.327 0.653 0.157
5 La 0.665 0.330 0.334
6 Ac 0.000 0.000 0.000
7 Sn 0.834 0.667 0.181
8 Sn 0.500 0.000 0.000
9 Sn 0.832 0.665 0.656
10 Sn 0.168 0.335 0.344
11 Sn 0.166 0.333 0.819

Summary:
The calculated total energy is -54.35 eV/f.u. The calculated volume is 38.647 Å³ per atom. The calculation puts the formation energy at -0.508 eV/atom. The calculation puts the size of the total moment at 0.17 Bohr magnetons per cell.



No. 2
VASP calculation (PBE) on crystalline AcLa5Sn4 at its relaxed geometry.

Cell: 7.808 10.230 11.019 Å, 90.00 90.00 90.00°
Atoms (fractional coordinates):
1 La 0.256 0.248 0.796
2 La 0.205 0.000 0.500
3 La 0.744 0.252 0.296
4 La 0.256 0.752 0.204
5 La 0.744 0.748 0.296
6 La 0.795 0.500 0.000
7 La 0.256 0.248 0.204
8 La 0.744 0.252 0.704
9 La 0.256 0.752 0.796
10 La 0.744 0.748 0.704
11 Sn 0.000 0.000 0.748
12 Sn 0.540 0.260 0.000
13 Sn 0.000 0.500 0.752
14 Sn 0.000 0.000 0.252
15 Sn 0.460 0.760 0.500
16 Sn 0.460 0.240 0.500
17 Sn 0.000 0.500 0.248
18 Sn 0.540 0.740 0.000
19 Ac 0.779 0.000 0.000
20 Ac 0.221 0.500 0.500

Summary:
The calculated total energy is -48.03 eV/f.u. The calculated volume is 44.006 Å³ per atom. The calculation puts the formation energy at -0.328 eV/atom. The calculation puts the size of the total moment at 3.61 Bohr magnetons per cell.



No. 3
VASP calculation (PBE) on crystalline AcLaSnTe at its relaxed geometry.

Cell: 5.716 5.716 5.716 Å, 60.00 60.00 60.00°
Atoms (fractional coordinates):
1 Te 0.000 0.000 0.000
2 Sn 0.500 0.500 0.500
3 Ac 0.250 0.250 0.250
4 La 0.750 0.750 0.750

Summary:
The calculated total energy is -20.02 eV/f.u. As for the energy above the most stable polymorph in this dataset: 0.2053 eV per atom. The calculated volume is 33.020 Å³ per atom. The calculation puts the size of the total moment at 0.00 Bohr magnetons per cell.



No. 4
VASP calculation (PBE) on crystalline AcLaSnTe at its relaxed geometry.

Cell: 4.727 4.727 8.174 Å, 73.19 73.19 60.00°
Atoms (fractional coordinates):
1 Te 0.448 0.448 0.657
2 Ac 0.690 0.690 0.929
3 La 0.198 0.198 0.406
4 Sn 0.941 0.941 0.178

Summary:
The calculated total energy is -20.84 eV/f.u. As for the energy above the most stable polymorph in this dataset: 0.0000 eV per atom. The calculated volume is 37.272 Å³ per atom. The calculation puts the size of the total moment at 0.00 Bohr magnetons per cell.



No. 5
VASP calculation (PBE) on crystalline Ac3La3Tl2Sn at its relaxed geometry.

Cell: 4.576 9.073 9.073 Å, 120.00 90.00 90.00°
Atoms (fractional coordinates):
1 Tl 0.500 0.667 0.333
2 Tl 0.500 0.333 0.667
3 La 0.000 0.397 0.000
4 La 0.000 0.000 0.397
5 La 0.000 0.603 0.603
6 Ac 0.500 0.275 0.275
7 Ac 0.500 0.000 0.725
8 Ac 0.500 0.725 0.000
9 Sn 0.000 0.000 0.000

Summary:
The calculated total energy is -38.86 eV/f.u. The calculated volume is 36.250 Å³ per atom. The calculation puts the formation energy at -0.336 eV/atom. The calculation puts the size of the total moment at 0.00 Bohr magnetons per cell.



No. 6
VASP calculation (PBE) on crystalline AcLaZn2Sn2 at its relaxed geometry.

Cell: 4.579 4.579 9.124 Å, 90.00 90.00 120.00°
Atoms (fractional coordinates):
1 Zn 0.333 0.667 0.728
2 Zn 0.667 0.333 0.272
3 La 0.000 0.000 0.500
4 Sn 0.333 0.667 0.255
5 Sn 0.667 0.333 0.745
6 Ac 0.000 0.000 0.000

Summary:
The calculated total energy is -23.23 eV/f.u. The calculated volume is 27.609 Å³ per atom. The calculation puts the formation energy at -0.607 eV/atom. The calculation puts the size of the total moment at 0.00 Bohr magnetons per cell.